Computed, not measured: KLiBi3 after structural relaxation at the GGA-PBEsol level of DFT.

Energy of formation from the pure elements ... 0.86 eV per atom
M_tot ... 0.00 Bohr magnetons per cell
VASP energy ... -2.33 eV per atom

Lattice parameters (Å, degrees): 5.8878 5.8878 5.8878 90.00 90.00 90.00
Fractional coordinates of all 5 atoms:
K 0.0000 0.0000 0.0000
Bi 0.0000 0.5000 0.0000
Bi 0.0000 0.0000 0.5000
Bi 0.5000 0.0000 0.0000
Li 0.5000 0.5000 0.5000

Computed, not measured: YPWO2 after structural relaxation at the GGA-PBEsol level of DFT.

Formation energy (no corrections) ... -769.1 kJ/mol of formula units
M_tot ... 0.00 Bohr magnetons per cell
VASP energy ... -8.98 eV per atom

Lattice parameters (Å, degrees): 3.8956 3.8956 4.9495 90.00 90.00 90.00
Fractional coordinates of all 5 atoms:
Y 0.5000 0.5000 0.5000
P 0.0000 0.0000 0.5000
O 0.0000 0.5000 0.0000
O 0.5000 0.0000 0.0000
W 0.0000 0.0000 0.0000

Computed, not measured: Dy2Ga5Cu12 after structural relaxation at the GGA-PBEsol level of DFT.

Energy of formation from the pure elements ... -0.24 eV per atom
M_tot ... 0.00 Bohr magnetons per cell
VASP energy ... -4.38 eV per atom

Lattice parameters (Å, degrees): 6.4515 6.4515 6.4515 82.98 82.98 82.98
Fractional coordinates of all 19 atoms:
Dy 0.6538 0.6538 0.6538
Dy 0.3462 0.3462 0.3462
Ga 0.0000 0.5000 0.0000
Ga 0.0000 0.0000 0.5000
Ga 0.5000 0.0000 0.0000
Ga 0.9024 0.9024 0.9024
Ga 0.0976 0.0976 0.0976
Cu 0.3039 0.0000 0.6961
Cu 0.6961 0.3039 0.0000
Cu 0.0000 0.6961 0.3039
Cu 0.3039 0.6961 0.0000
Cu 0.0000 0.3039 0.6961
Cu 0.6961 0.0000 0.3039
Cu 0.8413 0.3488 0.3488
Cu 0.3488 0.8413 0.3488
Cu 0.3488 0.3488 0.8413
Cu 0.1587 0.6512 0.6512
Cu 0.6512 0.1587 0.6512
Cu 0.6512 0.6512 0.1587

Computed, not measured: LaSi3Ru after structural relaxation at the GGA-PBEsol level of DFT.

Formation energy (no corrections) ... -372.4 kJ/mol of formula units
M_tot ... 0.00 Bohr magnetons per cell
VASP energy ... -7.32 eV per atom

Lattice parameters (Å, degrees): 4.2211 4.2211 5.7896 111.43 111.43 90.01
Fractional coordinates of all 5 atoms:
Ru 0.3454 0.3454 0.6904
Si 0.5822 0.5822 0.1647
Si 0.7387 0.2391 0.4777
Si 0.2391 0.7387 0.4777
La 0.0007 0.0007 0.0014

Which formula does entry 3 have?
Dy2Ga5Cu12

What is the M_tot in the third record?
0.00 Bohr magnetons per cell